Version 1
{
  "formula": "Sb5Ru",
  "functional": "PBE-GGA",
  "state": "optimized geometry",
  "cell": [[2.102, -8.161, 0.000], [2.102, 8.161, 0.000], [0.000, 0.000, 5.197]],
  "species": ["Sb", "Sb", "Sb", "Sb", "Sb", "Ru"],
  "frac_coords": [[0.367, 0.633, 0.500], [0.657, 0.343, 0.000], [0.056, 0.944, 0.500], [0.454, 0.546, 0.000], [0.744, 0.256, 0.500], [0.056, 0.944, 0.000]],
  "spacegroup": "No. 65",
  "crystal_system": "orthorhombic"
}

=====

Version 2
{
  "formula": "Sb5Ru",
  "functional": "PBE-GGA",
  "state": "optimized geometry",
  "cell": [[3.201, 0.000, 0.000], [0.000, 3.201, 0.000], [0.000, 0.000, 14.421]],
  "species": ["Ru", "Sb", "Sb", "Sb", "Sb", "Sb"],
  "frac_coords": [[0.500, 0.500, 0.000], [0.000, 0.000, 0.500], [0.000, 0.000, 0.883], [0.500, 0.500, 0.686], [0.000, 0.000, 0.117], [0.500, 0.500, 0.314]],
  "spacegroup": "No. 123",
  "crystal_system": "tetragonal"
}

=====

Version 3
{
  "formula": "Sb5Ru",
  "functional": "PBE-GGA",
  "state": "optimized geometry",
  "cell": [[2.974, -5.151, 0.000], [2.974, 5.151, 0.000], [0.000, 0.000, 5.639]],
  "species": ["Sb", "Sb", "Sb", "Sb", "Sb", "Ru"],
  "frac_coords": [[0.000, 0.500, 0.500], [0.500, 0.000, 0.500], [0.667, 0.333, 0.000], [0.500, 0.500, 0.500], [0.333, 0.667, 0.000], [0.000, 0.000, 0.000]],
  "spacegroup": "No. 191",
  "crystal_system": "hexagonal"
}

=====

Version 4
{
  "formula": "Sb5Ru",
  "functional": "PBE-GGA",
  "state": "optimized geometry",
  "cell": [[3.668, -6.353, 0.000], [3.668, 6.353, 0.000], [0.000, 0.000, 3.470]],
  "species": ["Sb", "Sb", "Sb", "Sb", "Sb", "Ru"],
  "frac_coords": [[0.000, 0.716, 0.000], [0.667, 0.333, 0.500], [0.333, 0.667, 0.500], [0.284, 0.284, 0.000], [0.716, 0.000, 0.000], [0.000, 0.000, 0.500]],
  "spacegroup": "No. 189",
  "crystal_system": "hexagonal"
}

=====

The data favor version 1; the next most stable structure lies 7.2 kJ/mol of atoms above it.

=====

Version 1
{
  "formula": "Sb5Ru",
  "functional": "PBE-GGA",
  "state": "optimized geometry",
  "cell": [[1.704, 6.814, 0.205], [-1.704, 6.814, 0.205], [0.000, 2.514, 7.478]],
  "species": ["Sb", "Sb", "Sb", "Sb", "Sb", "Ru"],
  "frac_coords": [[0.626, 0.626, 0.767], [0.979, 0.979, 0.633], [0.575, 0.575, 0.173], [0.327, 0.327, 0.957], [0.350, 0.350, 0.312], [0.978, 0.978, 0.991]],
  "spacegroup": "No. 8",
  "crystal_system": "monoclinic"
}

=====

Version 2
{
  "formula": "Sb5Ru",
  "functional": "PBE-GGA",
  "state": "optimized geometry",
  "cell": [[1.663, -9.477, 0.000], [1.663, 9.477, 0.000], [0.000, 0.000, 5.003]],
  "species": ["Sb", "Sb", "Sb", "Sb", "Sb", "Ru"],
  "frac_coords": [[0.000, 0.000, 0.500], [0.683, 0.317, 0.500], [0.317, 0.683, 0.500], [0.886, 0.114, 0.000], [0.114, 0.886, 0.000], [0.500, 0.500, 0.000]],
  "spacegroup": "No. 65",
  "crystal_system": "orthorhombic"
}

=====

The data favor version 1; the next most stable structure lies 14.2 kJ/mol of atoms above it.

=====

Version 1
{
  "formula": "Sb3Ru2",
  "functional": "PBE-GGA",
  "state": "optimized geometry",
  "cell": [[2.235, -3.871, 0.000], [2.235, 3.871, 0.000], [0.000, 0.000, 5.966]],
  "species": ["Sb", "Sb", "Sb", "Ru", "Ru"],
  "frac_coords": [[0.667, 0.333, 0.659], [0.000, 0.000, 0.000], [0.333, 0.667, 0.341], [0.667, 0.333, 0.154], [0.333, 0.667, 0.846]],
  "spacegroup": "No. 164",
  "crystal_system": "trigonal"
}

=====

Version 2
{
  "formula": "Sb3Ru2",
  "functional": "PBE-GGA",
  "state": "optimized geometry",
  "cell": [[10.336, -1.689, -0.020], [10.336, 1.689, -0.020], [10.065, 0.000, 2.893]],
  "species": ["Sb", "Sb", "Sb", "Ru", "Ru"],
  "frac_coords": [[0.000, 0.000, 0.000], [0.210, 0.210, 0.210], [0.790, 0.790, 0.790], [0.399, 0.399, 0.399], [0.601, 0.601, 0.601]],
  "spacegroup": "No. 166",
  "crystal_system": "trigonal"
}

=====

The data favor version 1; the next most stable structure lies 6.5 kJ/mol of atoms above it.

=====

Version 1
{
  "formula": "Sb3Ru",
  "functional": "PBE-GGA",
  "state": "optimized geometry",
  "cell": [[5.186, 0.000, 0.000], [0.000, 5.186, 0.000], [0.000, 0.000, 5.186]],
  "species": ["Sb", "Sb", "Sb", "Ru"],
  "frac_coords": [[0.000, 0.500, 0.000], [0.000, 0.000, 0.500], [0.500, 0.000, 0.000], [0.000, 0.000, 0.000]],
  "spacegroup": "No. 221",
  "crystal_system": "cubic"
}

=====

Version 2
{
  "formula": "Sb3Ru",
  "functional": "PBE-GGA",
  "state": "optimized geometry",
  "cell": [[6.706, 0.037, -0.015], [3.727, 5.575, 0.015], [-4.488, -4.161, 2.742]],
  "species": ["Sb", "Sb", "Sb", "Ru"],
  "frac_coords": [[0.568, 0.500, 0.068], [0.989, 0.336, 0.652], [0.316, 0.664, 0.652], [0.960, 0.000, 0.960]],
  "spacegroup": "No. 44",
  "crystal_system": "orthorhombic"
}

=====

Version 3
{
  "formula": "Sb3Ru",
  "functional": "PBE-GGA",
  "state": "optimized geometry",
  "cell": [[-1.540, -4.191, -0.514], [2.279, -1.286, 3.654], [-3.555, 0.991, 2.565]],
  "species": ["Sb", "Sb", "Sb", "Ru"],
  "frac_coords": [[0.000, 0.500, 0.500], [0.500, 0.500, 0.000], [0.500, 0.000, 0.500], [0.000, 0.000, 0.000]],
  "spacegroup": "No. 221",
  "crystal_system": "cubic"
}

=====

Version 4
{
  "formula": "Sb3Ru",
  "functional": "PBE-GGA",
  "state": "optimized geometry",
  "cell": [[-5.312, 0.158, 2.001], [1.513, -3.405, 4.285], [1.319, 4.542, 3.143]],
  "species": ["Sb", "Sb", "Sb", "Sb", "Sb", "Sb", "Ru", "Ru"],
  "frac_coords": [[0.000, 0.250, 0.500], [0.750, 0.500, 0.000], [0.250, 0.500, 0.000], [0.000, 0.750, 0.500], [0.500, 0.000, 0.750], [0.500, 0.000, 0.250], [0.000, 0.000, 0.000], [0.500, 0.500, 0.500]],
  "spacegroup": "No. 223",
  "crystal_system": "cubic"
}

=====

The data favor version 2; the next most stable structure lies 40.3 kJ/mol of atoms above it.

=====

Version 1
{
  "formula": "Sb3Ru",
  "functional": "PBE-GGA",
  "state": "optimized geometry",
  "cell": [[5.187, 0.000, 0.000], [0.000, 5.821, -3.361], [0.000, 0.000, 6.721]],
  "species": ["Ru", "Ru", "Sb", "Sb", "Sb", "Sb", "Sb", "Sb"],
  "frac_coords": [[0.224, 0.667, 0.333], [0.724, 0.333, 0.667], [0.474, 0.674, 0.674], [0.974, 0.674, 0.000], [0.974, 0.000, 0.674], [0.474, 0.326, 0.000], [0.474, 0.000, 0.326], [0.974, 0.326, 0.326]],
  "spacegroup": "No. 182",
  "crystal_system": "hexagonal"
}

=====

Version 2
{
  "formula": "Sb3Ru",
  "functional": "PBE-GGA",
  "state": "optimized geometry",
  "cell": [[-2.130, 1.025, -2.133], [-2.301, -0.225, 2.188], [1.608, 8.729, 2.589]],
  "species": ["Sb", "Sb", "Sb", "Ru"],
  "frac_coords": [[0.500, 0.500, 0.184], [0.500, 0.500, 0.816], [0.000, 0.000, 0.500], [0.000, 0.000, 0.000]],
  "spacegroup": "No. 123",
  "crystal_system": "tetragonal"
}

=====

Version 3
{
  "formula": "Sb3Ru",
  "functional": "PBE-GGA",
  "state": "optimized geometry",
  "cell": [[-4.313, -0.485, 10.197], [-3.114, 5.407, 9.159], [0.918, -2.097, -10.844]],
  "species": ["Sb", "Sb", "Sb", "Sb", "Sb", "Sb", "Ru", "Ru"],
  "frac_coords": [[0.250, 0.750, 0.500], [0.000, 0.500, 0.500], [0.500, 0.000, 0.500], [0.116, 0.116, 0.000], [0.750, 0.250, 0.500], [0.884, 0.884, 0.000], [0.322, 0.322, 0.000], [0.678, 0.678, 0.000]],
  "spacegroup": "No. 139",
  "crystal_system": "tetragonal"
}

=====

Version 4
{
  "formula": "Sb3Ru",
  "functional": "PBE-GGA",
  "state": "optimized geometry",
  "cell": [[3.396, -0.266, 0.159], [1.975, 2.776, 0.159], [1.098, 0.513, 9.473]],
  "species": ["Ru", "Sb", "Sb", "Sb"],
  "frac_coords": [[0.000, 0.000, 0.000], [0.273, 0.273, 0.199], [0.500, 0.500, 0.500], [0.727, 0.727, 0.801]],
  "spacegroup": "No. 12",
  "crystal_system": "monoclinic"
}

=====

The data favor version 2; the next most stable structure lies 2.9 kJ/mol of atoms above it.

=====

Version 1
{
  "formula": "Sc3SbRu",
  "functional": "PBE-GGA",
  "state": "optimized geometry",
  "cell": [[5.195, 0.000, 0.000], [0.000, 5.195, 0.000], [0.000, 0.000, 5.195]],
  "species": ["Sc", "Sc", "Sc", "Ru", "Sb"],
  "frac_coords": [[0.000, 0.500, 0.000], [0.000, 0.000, 0.500], [0.500, 0.000, 0.000], [0.500, 0.500, 0.500], [0.000, 0.000, 0.000]],
  "spacegroup": "No. 221",
  "crystal_system": "cubic"
}

=====

Version 2
{
  "formula": "Sc3SbRu",
  "functional": "PBE-GGA",
  "state": "optimized geometry",
  "cell": [[4.960, 0.000, 0.000], [0.000, 4.960, 0.000], [0.000, 0.000, 4.960]],
  "species": ["Sc", "Sc", "Sc", "Sb", "Ru"],
  "frac_coords": [[0.000, 0.500, 0.000], [0.500, 0.000, 0.000], [0.000, 0.000, 0.500], [0.500, 0.500, 0.500], [0.000, 0.000, 0.000]],
  "spacegroup": "No. 221",
  "crystal_system": "cubic"
}

=====

The data favor version 2; the next most stable structure lies 102.9 kJ/mol of atoms above it.

=====

Version 1
{
  "formula": "Sc4SbRu",
  "functional": "PBE-GGA",
  "state": "optimized geometry",
  "cell": [[-3.837, -0.851, 4.008], [-1.896, 4.326, 3.033], [-5.256, 1.837, -0.712]],
  "species": ["Sc", "Sc", "Sc", "Sc", "Sb", "Ru"],
  "frac_coords": [[0.871, 0.376, 0.376], [0.376, 0.376, 0.871], [0.376, 0.376, 0.376], [0.376, 0.871, 0.376], [0.000, 0.000, 0.000], [0.750, 0.750, 0.750]],
  "spacegroup": "No. 216",
  "crystal_system": "cubic"
}

=====

Version 2
{
  "formula": "Sc4SbRu",
  "functional": "PBE-GGA",
  "state": "optimized geometry",
  "cell": [[4.787, 0.000, -2.108], [0.000, 6.110, 0.000], [-0.318, 0.000, 8.871]],
  "species": ["Sc", "Sc", "Sc", "Sc", "Sc", "Sc", "Sc", "Sc", "Sb", "Sb", "Ru", "Ru"],
  "frac_coords": [[0.622, 0.250, 0.842], [0.417, 0.750, 0.558], [0.065, 0.509, 0.750], [0.583, 0.250, 0.442], [0.065, 0.991, 0.750], [0.935, 0.009, 0.250], [0.378, 0.750, 0.158], [0.935, 0.491, 0.250], [0.702, 0.750, 0.926], [0.298, 0.250, 0.074], [0.167, 0.250, 0.539], [0.833, 0.750, 0.461]],
  "spacegroup": "No. 11",
  "crystal_system": "monoclinic"
}

=====

The data favor version 2; the next most stable structure lies 79.1 kJ/mol of atoms above it.

=====

Version 1
{
  "formula": "ScSbTe2Ru",
  "functional": "PBE-GGA",
  "state": "optimized geometry",
  "cell": [[-5.156, 0.812, 1.324], [-1.043, -5.211, -0.866], [1.041, -0.983, 4.658]],
  "species": ["Sc", "Te", "Te", "Ru", "Sb"],
  "frac_coords": [[0.500, 0.500, 0.500], [0.000, 0.500, 0.000], [0.500, 0.000, 0.000], [0.000, 0.000, 0.000], [0.000, 0.000, 0.500]],
  "spacegroup": "No. 123",
  "crystal_system": "tetragonal"
}

=====

Version 2
{
  "formula": "ScSbTe2Ru",
  "functional": "PBE-GGA",
  "state": "optimized geometry",
  "cell": [[-0.485, 4.945, -2.193], [-3.552, 1.369, 3.874], [4.096, 1.787, 3.124]],
  "species": ["Te", "Te", "Sb", "Sc", "Ru"],
  "frac_coords": [[0.500, 0.000, 0.000], [0.000, 0.500, 0.000], [0.000, 0.000, 0.500], [0.000, 0.000, 0.000], [0.500, 0.500, 0.500]],
  "spacegroup": "No. 123",
  "crystal_system": "tetragonal"
}

=====

The data favor version 1; the next most stable structure lies 52.0 kJ/mol of atoms above it.

=====

Version 1
{
  "formula": "SbRu2Se",
  "functional": "PBE-GGA",
  "state": "optimized geometry",
  "cell": [[10.005, 0.040, 0.023], [9.511, 3.103, 0.023], [9.511, 1.532, 2.699]],
  "species": ["Sb", "Ru", "Ru", "Se"],
  "frac_coords": [[0.523, 0.523, 0.523], [0.257, 0.257, 0.257], [0.999, 0.999, 0.999], [0.721, 0.721, 0.721]],
  "spacegroup": "No. 160",
  "crystal_system": "trigonal"
}

=====

Version 2
{
  "formula": "SbRu2Se",
  "functional": "PBE-GGA",
  "state": "optimized geometry",
  "cell": [[-1.549, -0.426, 2.662], [-1.054, -3.581, -1.186], [4.702, -2.175, 2.388]],
  "species": ["Ru", "Ru", "Sb", "Se"],
  "frac_coords": [[0.000, 0.000, 0.951], [0.500, 0.500, 0.261], [0.000, 0.000, 0.446], [0.500, 0.500, 0.842]],
  "spacegroup": "No. 25",
  "crystal_system": "orthorhombic"
}

=====

The data favor version 2; the next most stable structure lies 16.6 kJ/mol of atoms above it.

=====

Version 1
{
  "formula": "Sb4RuSe",
  "functional": "PBE-GGA",
  "state": "optimized geometry",
  "cell": [[-4.608, -4.657, -1.472], [4.838, -3.877, -2.880], [1.255, -2.911, 6.028]],
  "species": ["Ru", "Ru", "Se", "Se", "Sb", "Sb", "Sb", "Sb", "Sb", "Sb", "Sb", "Sb"],
  "frac_coords": [[0.000, 0.500, 0.500], [0.500, 0.000, 0.500], [0.000, 0.000, 0.000], [0.500, 0.500, 0.000], [0.398, 0.879, 0.145], [0.855, 0.146, 0.433], [0.145, 0.854, 0.567], [0.602, 0.121, 0.855], [0.102, 0.379, 0.855], [0.355, 0.354, 0.433], [0.645, 0.646, 0.567], [0.898, 0.621, 0.145]],
  "spacegroup": "No. 14",
  "crystal_system": "monoclinic"
}

=====

Version 2
{
  "formula": "Sb4RuSe",
  "functional": "PBE-GGA",
  "state": "optimized geometry",
  "cell": [[-2.857, -3.766, 3.831], [-5.773, 1.080, 1.589], [-4.445, -3.619, -2.040]],
  "species": ["Sb", "Sb", "Sb", "Sb", "Ru", "Se"],
  "frac_coords": [[0.375, 0.375, 0.874], [0.375, 0.874, 0.375], [0.375, 0.375, 0.375], [0.874, 0.375, 0.375], [0.000, 0.000, 0.000], [0.750, 0.750, 0.750]],
  "spacegroup": "No. 216",
  "crystal_system": "cubic"
}

=====

The data favor version 1; the next most stable structure lies 93.4 kJ/mol of atoms above it.

=====

Version 1
{
  "formula": "SbRu3Se",
  "functional": "PBE-GGA",
  "state": "optimized geometry",
  "cell": [[4.581, 0.000, 0.000], [0.000, 4.581, 0.000], [0.000, 0.000, 4.581]],
  "species": ["Ru", "Ru", "Ru", "Sb", "Se"],
  "frac_coords": [[0.000, 0.500, 0.000], [0.000, 0.000, 0.500], [0.500, 0.000, 0.000], [0.500, 0.500, 0.500], [0.000, 0.000, 0.000]],
  "spacegroup": "No. 221",
  "crystal_system": "cubic"
}

=====

Version 2
{
  "formula": "SbRu3Se",
  "functional": "PBE-GGA",
  "state": "optimized geometry",
  "cell": [[4.878, 0.000, 0.000], [0.000, 4.878, 0.000], [0.000, 0.000, 4.878]],
  "species": ["Ru", "Ru", "Ru", "Sb", "Se"],
  "frac_coords": [[0.000, 0.000, 0.500], [0.500, 0.000, 0.000], [0.000, 0.500, 0.000], [0.000, 0.000, 0.000], [0.500, 0.500, 0.500]],
  "spacegroup": "No. 221",
  "crystal_system": "cubic"
}

=====

The data favor version 1; the next most stable structure lies 74.8 kJ/mol of atoms above it.